Density functional theory data (GGA-PBE) for a relaxed structure of BC.

E_form, meV/atom: 477
Energy above the lowest structure with this stoichiometry, meV/atom: 327
Total moment, μB/cell: 0.0
Raw total energy, eV per cell: -59.79

Geometry as POSCAR:
```
BC
1.0
1.290 0.745 9.331
-1.290 0.745 9.331
0.000 -1.490 9.331
B C
4 4
direct
0.000 0.000 0.000
0.061 0.061 0.061
0.296 0.296 0.296
0.550 0.550 0.550
0.241 0.241 0.241
0.491 0.491 0.491
0.752 0.752 0.752
0.807 0.807 0.807
```